Run 1
# LaYBi2, relaxed, DFT GGA-PBE
data_LaYBi2
_chemical_formula_sum 'La4 Y4 Bi8'
_symmetry_space_group_name_H-M 'F m -3 m'
_symmetry_Int_Tables_number 225
_symmetry_space_group_name_Hall '-F 4 2 3'
_cell_length_a 7.946
_cell_length_b 7.946
_cell_length_c 7.946
_cell_angle_alpha 90.00
_cell_angle_beta 90.00
_cell_angle_gamma 90.00
loop_
_atom_site_label
_atom_site_fract_x
_atom_site_fract_y
_atom_site_fract_z
La1 0.000 0.000 0.000
Y1 0.000 0.000 0.500
Bi1 0.250 0.250 0.250
# - M_tot (μB/cell) = 0.0


Run 2
# LaYBi2, relaxed, DFT GGA-PBE
data_LaYBi2
_chemical_formula_sum 'La3 Y3 Bi6'
_symmetry_space_group_name_H-M 'R 3 m'
_symmetry_Int_Tables_number 160
_symmetry_space_group_name_Hall 'R 3 -2"'
_cell_length_a 4.5626
_cell_length_b 4.5626
_cell_length_c 23.4080
_cell_angle_alpha 90.00
_cell_angle_beta 90.00
_cell_angle_gamma 120.00
loop_
_atom_site_label
_atom_site_fract_x
_atom_site_fract_y
_atom_site_fract_z
La1 0.0000 0.0000 0.0000
Y1 0.0000 0.0000 0.1708
Bi1 0.0000 0.0000 0.4214
Bi2 0.0000 0.0000 0.5832
# - M_tot (μB/cell) = 0.0


Run 3
# LaYBi2, relaxed, DFT GGA-PBE
data_LaYBi2
_chemical_formula_sum 'La2 Y2 Bi4'
_symmetry_space_group_name_H-M 'C 1 2/m 1'
_symmetry_Int_Tables_number 12
_symmetry_space_group_name_Hall '-C 2y'
_cell_length_a 7.973
_cell_length_b 4.607
_cell_length_c 7.931
_cell_angle_alpha 90.00
_cell_angle_beta 109.63
_cell_angle_gamma 90.00
loop_
_atom_site_label
_atom_site_fract_x
_atom_site_fract_y
_atom_site_fract_z
La1 0.000 0.000 0.000
Y1 0.000 0.500 0.500
Bi1 0.246 0.000 0.738
# - M_tot (μB/cell) = 0.0


Run 4
# LaYBi2, relaxed, DFT GGA-PBE
data_LaYBi2
_chemical_formula_sum 'La4 Y4 Bi8'
_symmetry_space_group_name_H-M 'I -4 2 d'
_symmetry_Int_Tables_number 122
_symmetry_space_group_name_Hall 'I -4 2bw'
_cell_length_a 8.617
_cell_length_b 8.617
_cell_length_c 7.215
_cell_angle_alpha 90.00
_cell_angle_beta 90.00
_cell_angle_gamma 90.00
loop_
_atom_site_label
_atom_site_fract_x
_atom_site_fract_y
_atom_site_fract_z
La1 0.000 0.000 0.000
Y1 0.000 0.000 0.500
Bi1 0.240 0.250 0.625
# - M_tot (μB/cell) = 0.0


Short version: run 4 is the least stable of them.